1.
Cd2Pt6Rh: relaxed, GGA-PBE.

Structure (POSCAR):
```
Cd2Pt6Rh
1.0
4.3795 -0.2375 -0.9364
-0.3202 4.8393 -2.7248
-0.7278 0.7715 7.1342
Cd Pt Rh
2 6 1
Direct
0.1475 0.6473 0.2946
0.8525 0.3527 0.7054
0.3955 0.6621 0.7914
0.2096 0.2097 0.4193
0.3955 0.1293 0.7914
0.6045 0.3379 0.2086
0.7904 0.7903 0.5807
0.6045 0.8707 0.2086
0.0000 0.0000 0.0000
```

Theoretical density (g/cm3): 15.915

***

2.
CdPtRh2: relaxed, GGA-PBE.

Structure (POSCAR):
```
CdPtRh2
1.0
-1.5553 -2.8975 -3.5792
0.6760 -2.6936 3.9891
-2.6605 0.4750 0.7716
Cd Pt Rh
1 1 2
Direct
0.0000 0.0000 0.5000
0.5000 0.5000 0.5000
0.5000 0.0000 0.0000
0.0000 0.5000 0.0000
```

Theoretical density (g/cm3): 13.542

***

3.
CdPt5Rh2: relaxed, GGA-PBE.

Structure (POSCAR):
```
CdPt5Rh2
1.0
6.3830 0.0000 2.3599
3.7907 8.6575 -0.4407
-0.2104 -4.7827 10.3815
Cd Pt Rh
4 20 8
Direct
0.0817 0.0784 0.3297
0.4898 0.4216 0.1703
0.5102 0.5784 0.8297
0.9183 0.9216 0.6703
0.9410 0.9283 0.0832
0.2362 0.1134 0.5716
0.7770 0.1867 0.6043
0.3688 0.2123 0.2606
0.8417 0.2877 0.2394
0.2035 0.3021 0.0740
0.5796 0.1979 0.4260
0.9525 0.5717 0.4168
0.0788 0.6135 0.0716
0.5680 0.3133 0.8957
0.4320 0.6867 0.1043
0.9212 0.3865 0.9284
0.0475 0.4283 0.5832
0.4204 0.8021 0.5740
0.7965 0.6979 0.9260
0.1583 0.7123 0.7606
0.6312 0.7877 0.7394
0.2230 0.8133 0.3957
0.7638 0.8866 0.4284
0.0590 0.0717 0.9168
0.4077 0.1077 0.7583
0.6791 0.0255 0.9594
0.6641 0.4745 0.5406
0.7263 0.6077 0.2583
0.2737 0.3923 0.7417
0.3359 0.5255 0.4594
0.3209 0.9745 0.0406
0.5923 0.8923 0.2417
```

Theoretical density (g/cm3): 16.469

***

4.
Cd2PtRh: relaxed, GGA-PBE.

Structure (POSCAR):
```
Cd2PtRh
1.0
-4.3218 5.1764 2.9874
-3.0510 1.2592 -6.5957
-5.6412 1.2776 -1.2703
Rh Pt Cd
2 2 4
Direct
0.5000 0.5000 0.0000
0.2500 0.7500 0.5000
0.0000 0.0000 0.0000
0.7500 0.2500 0.5000
0.6237 0.1250 0.2500
0.1263 0.6250 0.2500
0.3750 0.3763 0.7500
0.8750 0.8737 0.7500
```

Theoretical density (g/cm3): 11.378

***

no.,energy relative to the elements (meV per atom),magnetic moment (μB per formula unit)
1,35,0.041
2,-27,0.000
3,58,0.000
4,199,0.000